Entry 1:
VASP calculation (PBE) on an optimized crystal structure of Dy2Al8Ir.

Unit cell a=4.283 b=4.283 c=11.204 alpha=90.00 beta=90.00 gamma=90.00
Fractional coordinates of all 11 atoms:
Dy1 0.000 0.000 0.190
Dy2 0.000 0.000 0.810
Al1 0.000 0.500 0.000
Al2 0.000 0.500 0.379
Al3 0.000 0.500 0.621
Al4 0.500 0.000 0.000
Al5 0.500 0.000 0.379
Al6 0.500 0.000 0.621
Al7 0.500 0.500 0.193
Al8 0.500 0.500 0.807
Ir1 0.000 0.000 0.500

Computed properties:
total DFT energy (no corrections)	-54.16	eV/cell

***

Entry 2:
VASP calculation (PBE) on an optimized crystal structure of LaDyAlIr2.

Unit cell a=5.670 b=5.670 c=5.670 alpha=136.95 beta=117.56 gamma=78.84
Fractional coordinates of all 5 atoms:
La1 0.000 0.000 0.000
Dy1 0.603 0.603 0.000
Al1 0.301 0.801 0.500
Ir1 0.044 0.300 0.743
Ir2 0.557 0.300 0.257

Computed properties:
total DFT energy (no corrections)	-35.28	eV/cell